This record from Alexandria via LeMat-Bulk describes an optimized crystal structure of LaTbYTe3. The functional is PBE.

Geometry as extended XYZ:
```
12
Lattice="4.359 0.000 0.000 0.000 8.612 -0.324 0.000 -2.565 10.566" Properties=species:S:1:pos:R:3 pbc="T T T"
La 1.090 1.053 2.239
La 3.269 4.995 8.003
Tb 1.090 5.468 0.763
Tb 3.269 0.579 9.479
Y 1.090 -0.259 6.525
Y 3.269 6.307 3.718
Te 3.269 7.561 0.840
Te 1.090 -1.514 9.402
Te 1.090 5.283 5.541
Te 3.269 0.764 4.701
Te 3.269 3.631 1.989
Te 1.090 2.416 8.254
```

Summary:
The size of the total moment comes out at 0.00 μB per atom. The crystal system is monoclinic. For the formation energy (no corrections), the calculation gives -1.309 eV/atom. As for the theoretical density: 6.50 Mg/m³. As for the space-group type: P2_1/m.